Entry 1:
The following is a DFT calculation (PBE-GGA) of an optimized crystal structure of Li3ZrTc.

Results
Its space group is Pm-3m. For the density of states at the Fermi level, the calculation gives 4.8 states/eV/cell. The crystal system is cubic. As for the formation enthalpy at 0 K: 542.2 kJ/mol of formula units.

Cell: 4.4544 4.4544 4.4544 Å, 90.00 90.00 90.00°
With the nearest neighbours (Å) after each atom.
Sites, in units of the cell vectors:
1 Tc 0.0000 0.0000 0.0000  6 Li 2.23
2 Zr 0.5000 0.5000 0.5000  12 Li 3.15
3 Li 0.0000 0.5000 0.0000  2 Tc 2.23
4 Li 0.0000 0.0000 0.5000  2 Tc 2.23
5 Li 0.5000 0.0000 0.0000  2 Tc 2.23

---

Entry 2:
The following is a DFT calculation (PBE-GGA) of an optimized crystal structure of LaPuO4.

Results
Its space group is I4_1/amd. For the density of states at the Fermi level, the calculation gives 11.9 states/eV/cell. The crystal system is tetragonal. Its formation energy (no corrections) is -71.48 kcal/mol of atoms.

Cell: 5.5348 5.5348 6.6845 Å, 114.46 114.46 90.00°
With the nearest neighbours (Å) after each atom.
Sites, in units of the cell vectors:
1 La 0.0000 0.0000 0.0000  8 O 2.46
2 La 0.7500 0.2500 0.5000  8 O 2.46
3 Pu 0.5000 0.5000 0.0000  8 O 2.30
4 Pu 0.2500 0.7500 0.5000  8 O 2.30
5 O 0.8752 0.8495 0.2501  2 Pu 2.30, 2 La 2.46, 1 O 2.48
6 O 0.1506 0.1252 0.7501  2 Pu 2.30, 2 La 2.46, 1 O 2.48
7 O 0.5995 0.6250 0.7501  2 Pu 2.30, 2 La 2.46, 1 O 2.48
8 O 0.3750 0.4006 0.2501  2 Pu 2.30, 2 La 2.46, 1 O 2.48
9 O 0.3750 0.8494 0.2499  2 Pu 2.30, 2 La 2.46, 1 O 2.48
10 O 0.1505 0.6250 0.7499  2 Pu 2.30, 2 La 2.46, 1 O 2.48
11 O 0.5994 0.1248 0.7499  2 Pu 2.30, 2 La 2.46, 1 O 2.48
12 O 0.8748 0.4005 0.2499  2 Pu 2.30, 2 La 2.46, 1 O 2.48

---

Entry 3:
The following is a DFT calculation (PBE-GGA) of an optimized crystal structure of Ca2IrC2.

Results
Its space group is C2/m. For the density of states at the Fermi level, the calculation gives 7.0 states/eV/cell. The crystal system is monoclinic. As for the formation enthalpy at 0 K: 77.6 kJ/mol of formula units.

Cell: 3.3892 5.9796 9.0899 Å, 109.03 79.26 73.54°
With the nearest neighbours (Å) after each atom.
Sites, in units of the cell vectors:
1 Ca 0.0439 0.2781 0.6342  6 C 2.55-2.78, 1 Ir 2.84
2 Ca 0.8289 0.2885 0.0537  3 C 2.53-2.59
3 Ca 0.9561 0.7219 0.3658  6 C 2.55-2.78, 1 Ir 2.84
4 Ca 0.1711 0.7115 0.9463  3 C 2.53-2.59
5 Ir 0.2834 0.1420 0.2912  1 C 1.91
6 Ir 0.7166 0.8580 0.7088  1 C 1.91
7 C 0.5922 0.3902 0.4255  1 C 1.42
8 C 0.5238 0.7821 0.1702  1 Ir 1.91
9 C 0.4078 0.6098 0.5745  1 C 1.42
10 C 0.4762 0.2179 0.8298  1 Ir 1.91

---

Entry 4:
The following is a DFT calculation (PBE-GGA) of an optimized crystal structure of CeTh2Os.

Results
Its space group is R3m. For the density of states at the Fermi level, the calculation gives 7.9 states/eV/cell. The crystal system is trigonal. As for the formation enthalpy at 0 K: 11.3 kJ/mol of formula units.

Cell: 4.4949 4.4949 7.1089 Å, 71.57 71.57 60.00°
With the nearest neighbours (Å) after each atom.
Sites, in units of the cell vectors:
1 Ce 0.4907 0.4907 0.5278  6 Th 3.17-3.45
2 Th 0.0655 0.0655 0.8036  3 Os 2.86, 3 Ce 3.17
3 Th 0.2720 0.2720 0.1839  3 Os 2.91
4 Os 0.6718 0.6718 0.9847  6 Th 2.86-2.91